Record 1
# Nd5Ho2Tm4 | Alexandria | PBE-GGA | relaxed
# Total moment in μB per formula unit: 0.00
# Formation enthalpy at 0 K in meV per atom: 192.3
data_Nd5Ho2Tm4
_chemical_formula_sum 'Nd10 Ho4 Tm8'
_space_group_name_H-M_alt 'I m m m'
_space_group_IT_number 71
_space_group_name_Hall '-I 2 2'
_cell_length_a 3.518
_cell_length_b 9.079
_cell_length_c 23.521
_cell_angle_alpha 90.00
_cell_angle_beta 90.00
_cell_angle_gamma 90.00
loop_
_atom_site_label
_atom_site_type_symbol
_atom_site_fract_x
_atom_site_fract_y
_atom_site_fract_z
Nd1 Nd 0.000 0.000 0.000
Nd2 Nd 0.000 0.299 0.355
Ho1 Ho 0.000 0.500 0.230
Tm1 Tm 0.000 0.184 0.500
Tm2 Tm 0.000 0.500 0.096


Record 2
# ScHSe2N | Alexandria | PBE-GGA | relaxed
# Total moment in μB per formula unit: 0.28
# Uncorrected energy in eV/atom: -4.620
data_ScHSe2N
_chemical_formula_sum 'Sc1 H1 Se2 N1'
_space_group_name_H-M_alt 'P 4/m m m'
_space_group_IT_number 123
_space_group_name_Hall '-P 4 2'
_cell_length_a 5.017
_cell_length_b 5.017
_cell_length_c 2.768
_cell_angle_alpha 90.00
_cell_angle_beta 90.00
_cell_angle_gamma 90.00
loop_
_atom_site_label
_atom_site_type_symbol
_atom_site_fract_x
_atom_site_fract_y
_atom_site_fract_z
Sc1 Sc 0.000 0.000 0.000
H1 H 0.500 0.500 0.500
Se1 Se 0.000 0.500 0.500
N1 N 0.500 0.500 0.000


Record 3
# DyPuRe | Alexandria | PBE-GGA | relaxed
# Total moment in μB per formula unit: 5.00
# Formation enthalpy at 0 K in meV per atom: 169.4
data_DyPuRe
_chemical_formula_sum 'Dy2 Pu2 Re2'
_space_group_name_H-M_alt 'I 4 m m'
_space_group_IT_number 107
_space_group_name_Hall 'I 4 -2'
_cell_length_a 3.355
_cell_length_b 3.355
_cell_length_c 12.377
_cell_angle_alpha 90.00
_cell_angle_beta 90.00
_cell_angle_gamma 90.00
loop_
_atom_site_label
_atom_site_type_symbol
_atom_site_fract_x
_atom_site_fract_y
_atom_site_fract_z
Dy1 Dy 0.000 0.000 0.000
Pu1 Pu 0.000 0.000 0.277
Re1 Re 0.000 0.000 0.646


Record 4
# PuZnCl4 | Alexandria | PBE-GGA | relaxed
# Total moment in μB per formula unit: 5.99
# Energy relative to the elements, uncorrected in eV/atom: -1.36
data_PuZnCl4
_chemical_formula_sum 'Pu2 Zn2 Cl8'
_space_group_name_H-M_alt 'C 1 2/m 1'
_space_group_IT_number 12
_space_group_name_Hall '-C 2y'
_cell_length_a 14.413
_cell_length_b 3.733
_cell_length_c 7.121
_cell_angle_alpha 90.00
_cell_angle_beta 116.86
_cell_angle_gamma 90.00
loop_
_atom_site_label
_atom_site_type_symbol
_atom_site_fract_x
_atom_site_fract_y
_atom_site_fract_z
Pu1 Pu 0.000 0.000 0.000
Zn1 Zn 0.000 0.500 0.500
Cl1 Cl 0.106 0.000 0.746
Cl2 Cl 0.114 0.500 0.319


Record 5
# CuPtF3 | Alexandria | PBE-GGA | relaxed
# Total moment in μB per formula unit: 1.97
# Energy relative to the elements, uncorrected in eV/atom: -0.50
data_CuPtF3
_chemical_formula_sum 'Cu1 Pt1 F3'
_space_group_name_H-M_alt 'P m -3 m'
_space_group_IT_number 221
_space_group_name_Hall '-P 4 2 3'
_cell_length_a 4.012
_cell_length_b 4.012
_cell_length_c 4.012
_cell_angle_alpha 90.00
_cell_angle_beta 90.00
_cell_angle_gamma 90.00
loop_
_atom_site_label
_atom_site_type_symbol
_atom_site_fract_x
_atom_site_fract_y
_atom_site_fract_z
Cu1 Cu 0.000 0.000 0.000
Pt1 Pt 0.500 0.500 0.500
F1 F 0.000 0.000 0.500


Record 6
# Zr12Au3N5 | Alexandria | PBE-GGA | relaxed
# Total moment in μB per formula unit: 0.00
# Energy relative to the elements, uncorrected in eV/atom: -0.87
data_Zr12Au3N5
_chemical_formula_sum 'Zr96 Au24 N40'
_space_group_name_H-M_alt 'I a -3 d'
_space_group_IT_number 230
_space_group_name_Hall '-I 4bd 2c 3'
_cell_length_a 14.475
_cell_length_b 14.475
_cell_length_c 14.475
_cell_angle_alpha 90.00
_cell_angle_beta 90.00
_cell_angle_gamma 90.00
loop_
_atom_site_label
_atom_site_type_symbol
_atom_site_fract_x
_atom_site_fract_y
_atom_site_fract_z
Zr1 Zr 0.040 0.051 0.645
Au1 Au 0.000 0.250 0.125
N1 N 0.000 0.000 0.000
N2 N 0.000 0.250 0.375


Record 7
# Sr2TcPt | Alexandria | PBE-GGA | relaxed
# Total moment in μB per formula unit: 2.76
# Formation enthalpy at 0 K in meV per atom: 340.7
data_Sr2TcPt
_chemical_formula_sum 'Sr2 Tc1 Pt1'
_space_group_name_H-M_alt 'P 4/m m m'
_space_group_IT_number 123
_space_group_name_Hall '-P 4 2'
_cell_length_a 5.294
_cell_length_b 5.294
_cell_length_c 3.658
_cell_angle_alpha 90.00
_cell_angle_beta 90.00
_cell_angle_gamma 90.00
loop_
_atom_site_label
_atom_site_type_symbol
_atom_site_fract_x
_atom_site_fract_y
_atom_site_fract_z
Sr1 Sr 0.000 0.500 0.000
Tc1 Tc 0.000 0.000 0.500
Pt1 Pt 0.500 0.500 0.500


Record 8
# Nb3AsOs | Alexandria | PBE-GGA | relaxed
# Total moment in μB per formula unit: 0.00
# Formation enthalpy at 0 K in meV per atom: 1013.6
data_Nb3AsOs
_chemical_formula_sum 'Nb3 As1 Os1'
_space_group_name_H-M_alt 'P m -3 m'
_space_group_IT_number 221
_space_group_name_Hall '-P 4 2 3'
_cell_length_a 4.864
_cell_length_b 4.864
_cell_length_c 4.864
_cell_angle_alpha 90.00
_cell_angle_beta 90.00
_cell_angle_gamma 90.00
loop_
_atom_site_label
_atom_site_type_symbol
_atom_site_fract_x
_atom_site_fract_y
_atom_site_fract_z
Nb1 Nb 0.000 0.000 0.500
As1 As 0.500 0.500 0.500
Os1 Os 0.000 0.000 0.000


Record 9
# HfCu2Rh | Alexandria | PBE-GGA | relaxed
# Total moment in μB per formula unit: 0.00
# Formation enthalpy at 0 K in meV per atom: -240.0
data_HfCu2Rh
_chemical_formula_sum 'Hf4 Cu8 Rh4'
_space_group_name_H-M_alt 'F m -3 m'
_space_group_IT_number 225
_space_group_name_Hall '-F 4 2 3'
_cell_length_a 6.178
_cell_length_b 6.178
_cell_length_c 6.178
_cell_angle_alpha 90.00
_cell_angle_beta 90.00
_cell_angle_gamma 90.00
loop_
_atom_site_label
_atom_site_type_symbol
_atom_site_fract_x
_atom_site_fract_y
_atom_site_fract_z
Hf1 Hf 0.000 0.000 0.000
Cu1 Cu 0.250 0.250 0.250
Rh1 Rh 0.000 0.000 0.500


Record 10
# LaIrBr2 | Alexandria | PBE-GGA | relaxed
# Total moment in μB per formula unit: 0.00
# Energy relative to the elements, uncorrected in eV/atom: -0.71
data_LaIrBr2
_chemical_formula_sum 'La2 Ir2 Br4'
_space_group_name_H-M_alt 'I m m 2'
_space_group_IT_number 44
_space_group_name_Hall 'I 2 -2'
_cell_length_a 3.713
_cell_length_b 4.292
_cell_length_c 14.550
_cell_angle_alpha 90.00
_cell_angle_beta 90.00
_cell_angle_gamma 90.00
loop_
_atom_site_label
_atom_site_type_symbol
_atom_site_fract_x
_atom_site_fract_y
_atom_site_fract_z
La1 La 0.000 0.000 0.000
Ir1 Ir 0.000 0.500 0.362
Br1 Br 0.000 0.000 0.606
Br2 Br 0.000 0.500 0.849


Record 11
# Tl3SnAu4 | Alexandria | PBE-GGA | relaxed
# Total moment in μB per formula unit: 0.00
# Formation enthalpy at 0 K in meV per atom: -26.3
data_Tl3SnAu4
_chemical_formula_sum 'Tl12 Sn4 Au16'
_space_group_name_H-M_alt 'P n m a'
_space_group_IT_number 62
_space_group_name_Hall '-P 2ac 2n'
_cell_length_a 11.791
_cell_length_b 9.579
_cell_length_c 7.641
_cell_angle_alpha 90.00
_cell_angle_beta 90.00
_cell_angle_gamma 90.00
loop_
_atom_site_label
_atom_site_type_symbol
_atom_site_fract_x
_atom_site_fract_y
_atom_site_fract_z
Tl1 Tl 0.093 0.250 0.193
Tl2 Tl 0.149 0.528 0.580
Sn1 Sn 0.121 0.750 0.157
Au1 Au 0.011 0.250 0.544
Au2 Au 0.116 0.515 0.963
Au3 Au 0.171 0.250 0.825


Record 12
# KNa2Ca | Alexandria | PBE-GGA | relaxed
# Total moment in μB per formula unit: 0.00
# Formation enthalpy at 0 K in meV per atom: 165.0
data_KNa2Ca
_chemical_formula_sum 'K3 Na6 Ca3'
_space_group_name_H-M_alt 'R -3 m'
_space_group_IT_number 166
_space_group_name_Hall '-R 3 2"'
_cell_length_a 3.9104
_cell_length_b 3.9104
_cell_length_c 42.8200
_cell_angle_alpha 90.00
_cell_angle_beta 90.00
_cell_angle_gamma 120.00
loop_
_atom_site_label
_atom_site_type_symbol
_atom_site_fract_x
_atom_site_fract_y
_atom_site_fract_z
K1 K 0.0000 0.0000 0.0000
Na1 Na 0.0000 0.0000 0.4161
Ca1 Ca 0.0000 0.0000 0.5000


Record 13
# NaH3I | Alexandria | PBE-GGA | relaxed
# Total moment in μB per formula unit: 0.00
# Uncorrected energy in eV/atom: -1.928
data_NaH3I
_chemical_formula_sum 'Na1 H3 I1'
_space_group_name_H-M_alt 'P m -3 m'
_space_group_IT_number 221
_space_group_name_Hall '-P 4 2 3'
_cell_length_a 4.495
_cell_length_b 4.495
_cell_length_c 4.495
_cell_angle_alpha 90.00
_cell_angle_beta 90.00
_cell_angle_gamma 90.00
loop_
_atom_site_label
_atom_site_type_symbol
_atom_site_fract_x
_atom_site_fract_y
_atom_site_fract_z
Na1 Na 0.000 0.000 0.000
H1 H 0.000 0.500 0.500
I1 I 0.500 0.500 0.500


Record 14
# Ag2SnTeRh | Alexandria | PBE-GGA | relaxed
# Total moment in μB per formula unit: 0.00
# Energy relative to the elements, uncorrected in eV/atom: 0.70
data_Ag2SnTeRh
_chemical_formula_sum 'Ag2 Sn1 Te1 Rh1'
_space_group_name_H-M_alt 'P 4/m m m'
_space_group_IT_number 123
_space_group_name_Hall '-P 4 2'
_cell_length_a 5.156
_cell_length_b 5.156
_cell_length_c 4.956
_cell_angle_alpha 90.00
_cell_angle_beta 90.00
_cell_angle_gamma 90.00
loop_
_atom_site_label
_atom_site_type_symbol
_atom_site_fract_x
_atom_site_fract_y
_atom_site_fract_z
Ag1 Ag 0.000 0.500 0.000
Sn1 Sn 0.000 0.000 0.000
Te1 Te 0.500 0.500 0.500
Rh1 Rh 0.000 0.000 0.500


Record 15
# HfCr2Pd | Alexandria | PBE-GGA | relaxed
# Total moment in μB per formula unit: 0.00
# Formation enthalpy at 0 K in meV per atom: 465.8
data_HfCr2Pd
_chemical_formula_sum 'Hf4 Cr8 Pd4'
_space_group_name_H-M_alt 'I -4 2 d'
_space_group_IT_number 122
_space_group_name_Hall 'I -4 2bw'
_cell_length_a 3.651
_cell_length_b 3.651
_cell_length_c 19.598
_cell_angle_alpha 90.00
_cell_angle_beta 90.00
_cell_angle_gamma 90.00
loop_
_atom_site_label
_atom_site_type_symbol
_atom_site_fract_x
_atom_site_fract_y
_atom_site_fract_z
Hf1 Hf 0.000 0.000 0.000
Cr1 Cr 0.207 0.250 0.125
Pd1 Pd 0.000 0.000 0.500


Record 16
# Y2HoSb | Alexandria | PBE-GGA | relaxed
# Total moment in μB per formula unit: 1.14
# Energy relative to the elements, uncorrected in eV/atom: -0.31
data_Y2HoSb
_chemical_formula_sum 'Y6 Ho3 Sb3'
_space_group_name_H-M_alt 'R -3 m'
_space_group_IT_number 166
_space_group_name_Hall '-R 3 2"'
_cell_length_a 3.9726
_cell_length_b 3.9726
_cell_length_c 29.0088
_cell_angle_alpha 90.00
_cell_angle_beta 90.00
_cell_angle_gamma 120.00
loop_
_atom_site_label
_atom_site_type_symbol
_atom_site_fract_x
_atom_site_fract_y
_atom_site_fract_z
Y1 Y 0.0000 0.0000 0.2338
Ho1 Ho 0.0000 0.0000 0.0000
Sb1 Sb 0.0000 0.0000 0.5000


Record 17
# TaInI2 | Alexandria | PBE-GGA | relaxed
# Total moment in μB per formula unit: 1.20
# Energy relative to the elements, uncorrected in eV/atom: 0.34
data_TaInI2
_chemical_formula_sum 'Ta4 In4 I8'
_space_group_name_H-M_alt 'I -4 2 d'
_space_group_IT_number 122
_space_group_name_Hall 'I -4 2bw'
_cell_length_a 9.890
_cell_length_b 9.890
_cell_length_c 5.779
_cell_angle_alpha 90.00
_cell_angle_beta 90.00
_cell_angle_gamma 90.00
loop_
_atom_site_label
_atom_site_type_symbol
_atom_site_fract_x
_atom_site_fract_y
_atom_site_fract_z
Ta1 Ta 0.000 0.000 0.000
In1 In 0.000 0.000 0.500
I1 I 0.111 0.250 0.125


Record 18
# CeYPa2 | Alexandria | PBE-GGA | relaxed
# Total moment in μB per formula unit: 0.00
# Formation enthalpy at 0 K in meV per atom: 218.9
data_CeYPa2
_chemical_formula_sum 'Ce1 Y1 Pa2'
_space_group_name_H-M_alt 'P 4/m m m'
_space_group_IT_number 123
_space_group_name_Hall '-P 4 2'
_cell_length_a 4.634
_cell_length_b 4.634
_cell_length_c 4.971
_cell_angle_alpha 90.00
_cell_angle_beta 90.00
_cell_angle_gamma 90.00
loop_
_atom_site_label
_atom_site_type_symbol
_atom_site_fract_x
_atom_site_fract_y
_atom_site_fract_z
Ce1 Ce 0.000 0.000 0.000
Y1 Y 0.500 0.500 0.000
Pa1 Pa 0.000 0.500 0.500


Record 19
# Nd8PIr3I4 | Alexandria | PBE-GGA | relaxed
# Total moment in μB per formula unit: 0.00
# Energy relative to the elements, uncorrected in eV/atom: -1.02
data_Nd8PIr3I4
_chemical_formula_sum 'Nd24 P3 Ir9 I12'
_space_group_name_H-M_alt 'R -3 m'
_space_group_IT_number 166
_space_group_name_Hall '-R 3 2"'
_cell_length_a 8.5114
_cell_length_b 8.5114
_cell_length_c 24.0804
_cell_angle_alpha 90.00
_cell_angle_beta 90.00
_cell_angle_gamma 120.00
loop_
_atom_site_label
_atom_site_type_symbol
_atom_site_fract_x
_atom_site_fract_y
_atom_site_fract_z
Nd1 Nd 0.0000 0.0000 0.2286
Nd2 Nd 0.0098 0.5049 0.7718
P1 P 0.0000 0.0000 0.5000
Ir1 Ir 0.0000 0.5000 0.5000
I1 I 0.0000 0.0000 0.0000
I2 I 0.0000 0.5000 0.0000


Record 20
# SrBeSiAu3 | Alexandria | PBE-GGA | relaxed
# Total moment in μB per formula unit: 0.00
# Energy relative to the elements, uncorrected in eV/atom: -0.37
data_SrBeSiAu3
_chemical_formula_sum 'Sr4 Be4 Si4 Au12'
_space_group_name_H-M_alt 'C m c m'
_space_group_IT_number 63
_space_group_name_Hall '-C 2c 2'
_cell_length_a 6.469
_cell_length_b 11.954
_cell_length_c 6.315
_cell_angle_alpha 90.00
_cell_angle_beta 90.00
_cell_angle_gamma 90.00
loop_
_atom_site_label
_atom_site_type_symbol
_atom_site_fract_x
_atom_site_fract_y
_atom_site_fract_z
Sr1 Sr 0.000 0.231 0.250
Be1 Be 0.000 0.493 0.250
Si1 Si 0.000 0.112 0.750
Au1 Au 0.000 0.314 0.750
Au2 Au 0.232 0.000 0.000